a:
A relaxed Tb2CeEr crystal. Source: the Alexandria database, functional GGA-PBE.

Results
The space-group type is P4/mmm, No. 123. For the total magnetization, the calculation gives 0.6 μB per formula unit.

a = 3.5201 Å, b = 3.5201 Å, c = 10.0056 Å
α = 90.00°, β = 90.00°, γ = 90.00°
Positions (direct):
Tb  0.0000  0.0000  0.7467
Tb  0.0000  0.0000  0.2533
Ce  0.5000  0.5000  0.5000
Er  0.5000  0.5000  0.0000

***

b:
A relaxed Tb2CeEr crystal. Source: the Alexandria database, functional GGA-PBE.

Results
The space-group type is Cmcm, No. 63. For the total magnetization, the calculation gives 1.4 μB per formula unit.

a = 11.2790 Å, b = 9.4747 Å, c = 6.4478 Å
α = 42.72°, β = 51.89°, γ = 32.86°
Positions (direct):
Ce  0.5000  0.0000  0.5000
Ce  0.0000  0.5000  0.5000
Tb  0.7499  0.2736  0.8240
Tb  0.2501  0.7264  0.1760
Tb  0.7501  0.9024  0.8240
Tb  0.2499  0.0976  0.1760
Er  0.2500  0.5899  0.8202
Er  0.7500  0.4101  0.1798

***

Which structure above is the least stable? It is b.